Record 1
This record from Alexandria describes a relaxed structure of Rb2VF7. The functional is GGA+U.

## Properties
E, Ry per atom: -0.3587
Theoretical density, g/cm³: 3.3
SG: C2/c (15)
D(E_F), states/eV per cell: 0.00
Total moment, μB per atom: 0.000

Unit cell a=6.6333 b=7.7801 c=8.2504 alpha=82.59 beta=66.30 gamma=64.77
Closest atoms and distances in Å follow each position.
Atoms (fractional coordinates):
1 Rb 0.2396 0.5718 0.7581  8 F 2.79-3.09
2 Rb 0.5696 0.9282 0.7419  8 F 2.79-3.09
3 Rb 0.7604 0.4282 0.2419  8 F 2.79-3.09
4 Rb 0.4304 0.0718 0.2581  8 F 2.79-3.09
5 V 0.0601 0.7500 0.2500  7 F 1.83-1.95
6 V 0.9399 0.2500 0.7500  7 F 1.83-1.95
7 F 0.2472 0.7852 0.0145  1 V 1.90
8 F 0.9069 0.0088 0.2885  1 V 1.83
9 F 0.2562 0.2467 0.5995  1 V 1.95
10 F 0.0931 0.9912 0.7115  1 V 1.83
11 F 0.9532 0.2852 0.5145  1 V 1.90
12 F 0.3493 0.7500 0.2500  1 V 1.92
13 F 0.7958 0.5088 0.7885  1 V 1.83
14 F 0.8976 0.7467 0.0995  1 V 1.95
15 F 0.7438 0.7533 0.4005  1 V 1.95
16 F 0.2042 0.4912 0.2115  1 V 1.83
17 F 0.7528 0.2148 0.9855  1 V 1.90
18 F 0.0468 0.7148 0.4855  1 V 1.90
19 F 0.6507 0.2500 0.7500  1 V 1.92
20 F 0.1024 0.2533 0.9005  1 V 1.95

Record 2
This record from Alexandria describes a relaxed structure of RbVF2. The functional is GGA+U.

## Properties
E, Ry per atom: -0.3459
Theoretical density, g/cm³: 3.1
SG: I-42d (122)
D(E_F), states/eV per cell: 6.02
Total moment, μB per atom: 0.872

Unit cell a=5.5624 b=5.5624 c=7.2172 alpha=67.33 beta=67.33 gamma=90.00
Closest atoms and distances in Å follow each position.
Atoms (fractional coordinates):
1 V 0.5000 0.5000 0.0000  4 F 2.16
2 V 0.2500 0.7500 0.5000  4 F 2.16
3 Rb 0.7500 0.2500 0.5000  4 F 2.96
4 Rb 0.0000 0.0000 0.0000  4 F 2.96
5 F 0.8750 0.7425 0.7500  2 V 2.16
6 F 0.4925 0.1250 0.2500  2 V 2.16
7 F 0.2575 0.6250 0.2500  2 V 2.16
8 F 0.3750 0.5075 0.7500  2 V 2.16

Record 3
This record from Alexandria describes a relaxed structure of RbVF5. The functional is GGA+U.

## Properties
E, Ry per atom: -0.3941
Theoretical density, g/cm³: 3.1
SG: C2/c (15)
D(E_F), states/eV per cell: 0.00
Total moment, μB per atom: 0.143

Unit cell a=6.8694 b=6.8694 c=6.8970 alpha=107.89 beta=111.37 gamma=109.01
Closest atoms and distances in Å follow each position.
Atoms (fractional coordinates):
1 Rb 0.2741 0.5241 0.7500  8 F 2.88-2.98
2 Rb 0.7259 0.4759 0.2500  8 F 2.88-2.98
3 F 0.2983 0.0483 0.2500  2 V 1.98
4 F 0.7664 0.2315 0.5414  1 V 1.84
5 F 0.5038 0.2317 0.7280  1 V 1.85
6 F 0.7017 0.9517 0.7500  2 V 1.98
7 F 0.8099 0.7751 0.0414  1 V 1.84
8 F 0.0038 0.7758 0.7720  1 V 1.85
9 F 0.2336 0.7685 0.4586  1 V 1.84
10 F 0.1901 0.2249 0.9586  1 V 1.84
11 F 0.4962 0.7683 0.2720  1 V 1.85
12 F 0.9962 0.2242 0.2280  1 V 1.85
13 V 0.5000 0.0000 0.5000  6 F 1.84-1.98
14 V 0.0000 0.0000 0.0000  6 F 1.84-1.98

Record 4
This record from Alexandria describes a relaxed structure of Rb3V2F9. The functional is GGA+U.

## Properties
E, Ry per atom: -0.3935
Theoretical density, g/cm³: 3.6
SG: R-3c (167)
D(E_F), states/eV per cell: 0.00
Total moment, μB per atom: 0.286

Unit cell a=7.8952 b=7.8952 c=7.8952 alpha=85.17 beta=85.17 gamma=85.17
Closest atoms and distances in Å follow each position.
Atoms (fractional coordinates):
1 Rb 0.2500 0.9071 0.5929  12 F 3.03-3.19
2 Rb 0.5929 0.2500 0.9071  12 F 3.03-3.19
3 Rb 0.0929 0.4071 0.7500  12 F 3.03-3.19
4 Rb 0.7500 0.0929 0.4071  12 F 3.03-3.19
5 Rb 0.9071 0.5929 0.2500  12 F 3.03-3.19
6 Rb 0.4071 0.7500 0.0929  12 F 3.03-3.19
7 F 0.4340 0.5887 0.7533  1 V 1.92
8 F 0.9113 0.0660 0.7467  1 V 1.92
9 F 0.3886 0.1114 0.2500  2 V 2.08
10 F 0.9340 0.2533 0.0887  1 V 1.92
11 F 0.1114 0.2500 0.3886  2 V 2.08
12 F 0.0887 0.9340 0.2533  1 V 1.92
13 F 0.8886 0.7500 0.6114  2 V 2.08
14 F 0.6114 0.8886 0.7500  2 V 2.08
15 F 0.7467 0.9113 0.0660  1 V 1.92
16 F 0.5660 0.4113 0.2467  1 V 1.92
17 F 0.2500 0.3886 0.1114  2 V 2.08
18 F 0.4113 0.2467 0.5660  1 V 1.92
19 F 0.0660 0.7467 0.9113  1 V 1.92
20 F 0.2467 0.5660 0.4113  1 V 1.92
21 F 0.7500 0.6114 0.8886  2 V 2.08
22 F 0.5887 0.7533 0.4340  1 V 1.92
23 F 0.7533 0.4340 0.5887  1 V 1.92
24 F 0.2533 0.0887 0.9340  1 V 1.92
25 V 0.3492 0.3492 0.3492  6 F 1.92-2.08
26 V 0.8492 0.8492 0.8492  6 F 1.92-2.08
27 V 0.1508 0.1508 0.1508  6 F 1.92-2.08
28 V 0.6508 0.6508 0.6508  6 F 1.92-2.08

Record 5
This record from Alexandria describes a relaxed structure of RbV2F6. The functional is GGA+U.

## Properties
E, Ry per atom: -0.4262
Theoretical density, g/cm³: 3.1
SG: P-31m (162)
D(E_F), states/eV per cell: 7.48
Total moment, μB per atom: 0.556

Unit cell a=5.5656 b=5.5656 c=5.9847 alpha=90.00 beta=90.00 gamma=120.00
Closest atoms and distances in Å follow each position.
Atoms (fractional coordinates):
1 F 0.0000 0.3823 0.6828  2 V 2.05
2 F 0.3823 0.0000 0.6828  2 V 2.05
3 F 0.6177 0.6177 0.6828  2 V 2.05
4 F 0.3823 0.3823 0.3172  2 V 2.05
5 F 0.6177 0.0000 0.3172  2 V 2.05
6 F 0.0000 0.6177 0.3172  2 V 2.05
7 V 0.3333 0.6667 0.5000  6 F 2.05
8 V 0.6667 0.3333 0.5000  6 F 2.05
9 Rb 0.0000 0.0000 0.0000  6 F 2.85

Record 6
This record from Alexandria describes a relaxed structure of RbVF2. The functional is GGA+U.

## Properties
E, Ry per atom: -0.3102
Theoretical density, g/cm³: 4.2
SG: Fm-3m (225)
D(E_F), states/eV per cell: 6.52
Total moment, μB per atom: 0.998

Unit cell a=4.5953 b=4.5953 c=4.5953 alpha=60.00 beta=60.00 gamma=60.00
Closest atoms and distances in Å follow each position.
Atoms (fractional coordinates):
1 F 0.2500 0.2500 0.2500  4 Rb 2.81, 4 V 2.81
2 F 0.7500 0.7500 0.7500  4 Rb 2.81, 4 V 2.81
3 V 0.0000 0.0000 0.0000  8 F 2.81
4 Rb 0.5000 0.5000 0.5000  8 F 2.81

Record 7
This record from Alexandria describes a relaxed structure of Rb2VF8. The functional is GGA+U.

## Properties
E, Ry per atom: -0.3381
Theoretical density, g/cm³: 2.3
SG: C2/m (12)
D(E_F), states/eV per cell: 4.26
Total moment, μB per atom: 0.091

Unit cell a=5.1080 b=5.9175 c=9.3130 alpha=87.20 beta=105.92 gamma=90.00
Closest atoms and distances in Å follow each position.
Atoms (fractional coordinates):
1 F 0.2823 0.5071 0.5646  3 Rb 2.67-2.97, 2 F 2.81
2 F 0.2439 0.7785 0.9995  1 V 1.81
3 F 0.7561 0.2215 0.0005  1 V 1.81
4 F 0.1023 0.9834 0.2045  1 V 1.83
5 F 0.2444 0.2215 0.0005  1 V 1.81
6 F 0.7177 0.4929 0.4354  3 Rb 2.67-2.97, 2 F 2.81
7 F 0.8977 0.0166 0.7955  1 V 1.83
8 F 0.7556 0.7785 0.9995  1 V 1.81
9 V 0.0000 0.0000 0.0000  6 F 1.81-1.83
10 Rb 0.1339 0.4784 0.2678  3 F 2.67-2.97
11 Rb 0.8661 0.5216 0.7322  3 F 2.67-2.97

Record 8
This record from Alexandria describes a relaxed structure of Rb4VF6. The functional is GGA+U.

## Properties
E, Ry per atom: -0.3495
Theoretical density, g/cm³: 3.8
SG: R-3c (167)
D(E_F), states/eV per cell: 0.00
Total moment, μB per atom: 0.273

Unit cell a=7.6494 b=7.6494 c=7.6494 alpha=90.83 beta=90.83 gamma=89.17
Closest atoms and distances in Å follow each position.
Atoms (fractional coordinates):
1 F 0.4418 0.7665 0.4302  1 V 2.15
2 F 0.5698 0.4418 0.2335  1 V 2.15
3 F 0.0582 0.9302 0.2665  1 V 2.15
4 F 0.2665 0.9418 0.9302  1 V 2.15
5 F 0.9302 0.7335 0.9418  1 V 2.15
6 F 0.0698 0.2665 0.0582  1 V 2.15
7 F 0.9418 0.0698 0.7335  1 V 2.15
8 F 0.2335 0.4302 0.4418  1 V 2.15
9 F 0.7665 0.5698 0.5582  1 V 2.15
10 F 0.4302 0.5582 0.7665  1 V 2.15
11 F 0.7335 0.0582 0.0698  1 V 2.15
12 F 0.5582 0.2335 0.5698  1 V 2.15
13 Rb 0.8848 0.2500 0.3848  8 F 2.89-3.04
14 Rb 0.2500 0.6152 0.1152  8 F 2.89-3.04
15 Rb 0.7500 0.7500 0.2500  6 F 2.75
16 Rb 0.2500 0.2500 0.7500  6 F 2.75
17 Rb 0.1152 0.7500 0.6152  8 F 2.89-3.04
18 Rb 0.3848 0.1152 0.2500  8 F 2.89-3.04
19 Rb 0.7500 0.3848 0.8848  8 F 2.89-3.04
20 Rb 0.6152 0.8848 0.7500  8 F 2.89-3.04
21 V 0.0000 0.0000 0.0000  6 F 2.15
22 V 0.5000 0.5000 0.5000  6 F 2.15